(1)
# HoPuPdO6 PBE relaxed
# DFT total energy, eV for the cell shown: -147.07
# ΔE_f (raw), eV/atom: -2.187
# DOS(E_F), states/eV per atom: 0.695
data_HoPuPdO6
_cell_length_a 5.3385
_cell_length_b 5.3385
_cell_length_c 9.9824
_cell_angle_alpha 90.00
_cell_angle_beta 90.00
_cell_angle_gamma 120.00
_symmetry_space_group_name_H-M 'P -3 1 c'
_symmetry_Int_Tables_number 163
_symmetry_space_group_name_Hall '-P 3 2c'
loop_
_atom_site_label
_atom_site_type_symbol
_atom_site_fract_x
_atom_site_fract_y
_atom_site_fract_z
Ho1 Ho 0.0000 0.0000 0.0000
Pu1 Pu 0.3333 0.6667 0.2500
Pd1 Pd 0.3333 0.6667 0.7500
O1 O 0.0036 0.3478 0.6347


(2)
# RbHoPdO3 PBE relaxed
# DFT total energy, eV for the cell shown: -146.37
# ΔE_f (raw), eV/atom: -1.830
data_RbHoPdO3
_cell_length_a 3.812
_cell_length_b 14.375
_cell_length_c 8.554
_cell_angle_alpha 90.00
_cell_angle_beta 90.00
_cell_angle_gamma 90.00
_symmetry_space_group_name_H-M 'C m c m'
_symmetry_Int_Tables_number 63
_symmetry_space_group_name_Hall '-C 2c 2'
loop_
_atom_site_label
_atom_site_type_symbol
_atom_site_fract_x
_atom_site_fract_y
_atom_site_fract_z
Rb1 Rb 0.000 0.219 0.250
Ho1 Ho 0.000 0.500 0.000
Pd1 Pd 0.000 0.091 0.750
O1 O 0.000 0.097 0.505
O2 O 0.000 0.451 0.250


(3)
# Rb2HoPdO4 PBE relaxed
# DFT total energy, eV for the cell shown: -341.06
# ΔE_f (raw), eV/atom: -1.387
# DOS(E_F), states/eV per atom: 0.647
data_Rb2HoPdO4
_cell_length_a 5.884
_cell_length_b 13.720
_cell_length_c 23.281
_cell_angle_alpha 90.00
_cell_angle_beta 90.00
_cell_angle_gamma 90.00
_symmetry_space_group_name_H-M 'F d d d'
_symmetry_Int_Tables_number 70
loop_
_symmetry_equiv_pos_as_xyz
'x,y,z'
'-x,-y,-z'
'-x+1/4,-y+1/4,z'
'x+1/4,y+1/4,-z'
'x,-y+1/4,-z+1/4'
'-x,y+1/4,z+1/4'
'-x+1/4,y,-z+1/4'
'x+1/4,-y,z+1/4'
'x,y+1/2,z+1/2'
'-x,-y+1/2,-z+1/2'
'-x+1/4,-y+3/4,z+1/2'
'x+1/4,y+3/4,-z+1/2'
'x,-y+3/4,-z+3/4'
'-x,y+3/4,z+3/4'
'-x+1/4,y+1/2,-z+3/4'
'x+1/4,-y+1/2,z+3/4'
'x+1/2,y,z+1/2'
'-x+1/2,-y,-z+1/2'
'-x+3/4,-y+1/4,z+1/2'
'x+3/4,y+1/4,-z+1/2'
'x+1/2,-y+1/4,-z+3/4'
'-x+1/2,y+1/4,z+3/4'
'-x+3/4,y,-z+3/4'
'x+3/4,-y,z+3/4'
'x+1/2,y+1/2,z'
'-x+1/2,-y+1/2,-z'
'-x+3/4,-y+3/4,z'
'x+3/4,y+3/4,-z'
'x+1/2,-y+3/4,-z+1/4'
'-x+1/2,y+3/4,z+1/4'
'-x+3/4,y+1/2,-z+1/4'
'x+3/4,-y+1/2,z+1/4'
loop_
_atom_site_label
_atom_site_type_symbol
_atom_site_fract_x
_atom_site_fract_y
_atom_site_fract_z
Rb1 Rb 0.125 0.125 0.319
Ho1 Ho 0.125 0.125 0.125
Pd1 Pd 0.125 0.125 0.625
O1 O 0.113 0.273 0.853


(4)
# SrHo2PdO5 PBE relaxed
# DFT total energy, eV for the cell shown: -252.27
# ΔE_f (raw), eV/atom: -2.472
data_SrHo2PdO5
_cell_length_a 6.459
_cell_length_b 6.459
_cell_length_c 12.120
_cell_angle_alpha 90.00
_cell_angle_beta 90.00
_cell_angle_gamma 90.00
_symmetry_space_group_name_H-M 'I 4/m c m'
_symmetry_Int_Tables_number 140
_symmetry_space_group_name_Hall '-I 4 2c'
loop_
_atom_site_label
_atom_site_type_symbol
_atom_site_fract_x
_atom_site_fract_y
_atom_site_fract_z
Sr1 Sr 0.000 0.000 0.250
Ho1 Ho 0.172 0.328 0.000
Pd1 Pd 0.000 0.500 0.250
O1 O 0.000 0.000 0.000
O2 O 0.144 0.356 0.383


(5)
# HoTl2PdO6 PBE relaxed
# DFT total energy, eV for the cell shown: -169.62
# ΔE_f (raw), eV/atom: -1.229
# DOS(E_F), states/eV per atom: 0.398
data_HoTl2PdO6
_cell_length_a 5.6995
_cell_length_b 5.6995
_cell_length_c 14.9455
_cell_angle_alpha 90.00
_cell_angle_beta 90.00
_cell_angle_gamma 120.00
_symmetry_space_group_name_H-M 'R 3'
_symmetry_Int_Tables_number 146
_symmetry_space_group_name_Hall 'R 3'
loop_
_atom_site_label
_atom_site_type_symbol
_atom_site_fract_x
_atom_site_fract_y
_atom_site_fract_z
Ho1 Ho 0.0000 0.0000 0.0000
Tl1 Tl 0.0000 0.0000 0.2645
Tl2 Tl 0.0000 0.0000 0.7819
Pd1 Pd 0.0000 0.0000 0.4902
O1 O 0.0010 0.3939 0.2302
O2 O 0.0609 0.6954 0.0724


(6)
# HoZnPdO4 PBE relaxed
# DFT total energy, eV for the cell shown: -171.33
# ΔE_f (raw), eV/atom: -1.708
# DOS(E_F), states/eV per atom: 0.404
data_HoZnPdO4
_cell_length_a 6.431
_cell_length_b 6.622
_cell_length_c 8.615
_cell_angle_alpha 90.00
_cell_angle_beta 90.00
_cell_angle_gamma 90.00
_symmetry_space_group_name_H-M 'I m m a'
_symmetry_Int_Tables_number 74
_symmetry_space_group_name_Hall '-I 2b 2'
loop_
_atom_site_label
_atom_site_type_symbol
_atom_site_fract_x
_atom_site_fract_y
_atom_site_fract_z
Ho1 Ho 0.000 0.000 0.000
Zn1 Zn 0.000 0.250 0.388
Pd1 Pd 0.250 0.250 0.750
O1 O 0.000 0.020 0.738
O2 O 0.236 0.250 0.992


(7)
# Pm3Ho5O12 PBE relaxed
# DFT total energy, eV for the cell shown: -1312.30
# ΔE_f (raw), eV/atom: -3.370
# DOS(E_F), states/eV per atom: 0.000
data_Pm3Ho5O12
_cell_length_a 13.573
_cell_length_b 13.573
_cell_length_c 13.573
_cell_angle_alpha 90.00
_cell_angle_beta 90.00
_cell_angle_gamma 90.00
_symmetry_space_group_name_H-M 'I a -3 d'
_symmetry_Int_Tables_number 230
_symmetry_space_group_name_Hall '-I 4bd 2c 3'
loop_
_atom_site_label
_atom_site_type_symbol
_atom_site_fract_x
_atom_site_fract_y
_atom_site_fract_z
Pm1 Pm 0.000 0.250 0.125
Ho1 Ho 0.000 0.000 0.000
Ho2 Ho 0.000 0.250 0.375
O1 O 0.022 0.064 0.653


(8)
# PmHo2O PBE relaxed
# DFT total energy, eV for the cell shown: -22.06
# ΔE_f (raw), eV/atom: -0.799
# Polymorph energy (0 for the lowest one), eV per atom: 0.557
# DOS(E_F), states/eV per atom: 1.185
data_PmHo2O
_cell_length_a 3.192
_cell_length_b 3.192
_cell_length_c 8.769
_cell_angle_alpha 90.00
_cell_angle_beta 90.00
_cell_angle_gamma 90.00
_symmetry_space_group_name_H-M 'P 4/m m m'
_symmetry_Int_Tables_number 123
_symmetry_space_group_name_Hall '-P 4 2'
loop_
_atom_site_label
_atom_site_type_symbol
_atom_site_fract_x
_atom_site_fract_y
_atom_site_fract_z
Pm1 Pm 0.000 0.000 0.000
Ho1 Ho 0.500 0.500 0.325
O1 O 0.000 0.000 0.500


(9)
# Pm2HoO4 PBE relaxed
# DFT total energy, eV for the cell shown: -111.62
# ΔE_f (raw), eV/atom: -3.128
# DOS(E_F), states/eV per atom: 0.333
data_Pm2HoO4
_cell_length_a 11.854
_cell_length_b 3.511
_cell_length_c 6.071
_cell_angle_alpha 90.00
_cell_angle_beta 117.80
_cell_angle_gamma 90.00
_symmetry_space_group_name_H-M 'C 1 2/m 1'
_symmetry_Int_Tables_number 12
loop_
_symmetry_equiv_pos_as_xyz
'x,y,z'
'-x,-y,-z'
'-x,y,-z'
'x,-y,z'
'x+1/2,y+1/2,z'
'-x+1/2,-y+1/2,-z'
'-x+1/2,y+1/2,-z'
'x+1/2,-y+1/2,z'
loop_
_atom_site_label
_atom_site_type_symbol
_atom_site_fract_x
_atom_site_fract_y
_atom_site_fract_z
Pm1 Pm 0.195 0.000 0.197
Ho1 Ho 0.000 0.500 0.500
O1 O 0.128 0.500 0.915
O2 O 0.141 0.000 0.522


(10)
# PmHo2O PBE relaxed
# DFT total energy, eV for the cell shown: -72.87
# ΔE_f (raw), eV/atom: -1.356
# Polymorph energy (0 for the lowest one), eV per atom: 0.000
# DOS(E_F), states/eV per atom: 0.966
data_PmHo2O
_cell_length_a 3.5028
_cell_length_b 3.5028
_cell_length_c 26.3598
_cell_angle_alpha 90.00
_cell_angle_beta 90.00
_cell_angle_gamma 120.00
_symmetry_space_group_name_H-M 'R -3 m'
_symmetry_Int_Tables_number 166
_symmetry_space_group_name_Hall '-R 3 2"'
loop_
_atom_site_label
_atom_site_type_symbol
_atom_site_fract_x
_atom_site_fract_y
_atom_site_fract_z
Pm1 Pm 0.0000 0.0000 0.0000
Ho1 Ho 0.0000 0.0000 0.2185
O1 O 0.0000 0.0000 0.5000


(11)
# PmHoO4 PBE relaxed
# DFT total energy, eV for the cell shown: -93.44
# ΔE_f (raw), eV/atom: -2.927
# DOS(E_F), states/eV per atom: 0.000
data_PmHoO4
_cell_length_a 6.669
_cell_length_b 3.898
_cell_length_c 6.352
_cell_angle_alpha 90.00
_cell_angle_beta 97.57
_cell_angle_gamma 90.00
_symmetry_space_group_name_H-M 'C 1 m 1'
_symmetry_Int_Tables_number 8
loop_
_symmetry_equiv_pos_as_xyz
'x,y,z'
'x,-y,z'
'x+1/2,y+1/2,z'
'x+1/2,-y+1/2,z'
loop_
_atom_site_label
_atom_site_type_symbol
_atom_site_fract_x
_atom_site_fract_y
_atom_site_fract_z
Pm1 Pm 0.000 0.000 0.000
Ho1 Ho 0.387 0.000 0.460
O1 O 0.046 0.000 0.382
O2 O 0.112 0.500 0.788
O3 O 0.282 0.500 0.654
O4 O 0.346 0.000 0.097


(12)
# Pm2HoO PBE relaxed
# DFT total energy, eV for the cell shown: -72.25
# ΔE_f (raw), eV/atom: -1.262
# DOS(E_F), states/eV per atom: 1.202
data_Pm2HoO
_cell_length_a 3.6404
_cell_length_b 3.6404
_cell_length_c 26.5932
_cell_angle_alpha 90.00
_cell_angle_beta 90.00
_cell_angle_gamma 120.00
_symmetry_space_group_name_H-M 'R -3 m'
_symmetry_Int_Tables_number 166
_symmetry_space_group_name_Hall '-R 3 2"'
loop_
_atom_site_label
_atom_site_type_symbol
_atom_site_fract_x
_atom_site_fract_y
_atom_site_fract_z
Pm1 Pm 0.0000 0.0000 0.2190
Ho1 Ho 0.0000 0.0000 0.0000
O1 O 0.0000 0.0000 0.5000